# 1
Pu3CoPb | PBE | optimized geometry

The value obtained for the formation energy from the elements is 0.021 eV per atom. The calculated total energy is -0.789 Ry/atom. The total magnetic moment comes out at 15.939 Bohr magnetons per cell.

The structure belongs to space group Pm-3m (No. 221); the cell edges are 5.0811, 5.0811 and 5.0811 Å and the angles 90.00°, 90.00° and 90.00°. The distinct sites, in fractional coordinates, are Pu at (0.0000, 0.0000, 0.5000), Co at (0.0000, 0.0000, 0.0000) and Pb at (0.5000, 0.5000, 0.5000).

# 2
TlCu2Pt | PBE | optimized geometry

The value obtained for the formation energy from the elements is 0.247 eV per atom. The calculated total energy is -0.287 Ry/atom. The value obtained for the energy above the most stable polymorph in this dataset is 0.1901 eV per atom. The total magnetic moment comes out at 0.000 Bohr magnetons per cell.

The structure belongs to space group I-42d (No. 122); the cell edges are 3.9413, 3.9413 and 18.4510 Å and the angles 90.00°, 90.00° and 90.00°. The distinct sites, in fractional coordinates, are Tl at (0.0000, 0.0000, 0.0000), Cu at (0.1930, 0.2500, 0.6250) and Pt at (0.0000, 0.0000, 0.5000).